Record 1
Fe2Te: relaxed, PBE.

Calculated values
Calculated volume in Å³ per cell: 110.1
Total moment in μB per cell: 7.604
ρ in Mg/m³: 7.22
E_tot in eV/atom: -6.68
Space group: No. 12
ΔE_f (raw) in meV/atom: 7

Unit cell a=4.016 b=4.016 c=7.879 alpha=90.28 beta=90.28 gamma=60.00
Sites, in units of the cell vectors:
1 Fe 0.001 0.001 0.148
2 Fe 0.333 0.333 0.944
3 Fe 0.667 0.667 0.056
4 Fe 0.999 0.999 0.852
5 Te 0.335 0.335 0.291
6 Te 0.665 0.665 0.709

---

Record 2
Sm3Ho6Er: relaxed, PBE.

Calculated values
Calculated volume in Å³ per cell: 329.0
Total moment in μB per cell: 0.000
Energy of formation in eV per atom: 0.22
ρ in Mg/m³: 8.11
E_tot in eV/atom: -4.39
Space group: No. 12

Unit cell a=6.604 b=6.604 c=9.586 alpha=110.71 beta=110.71 gamma=59.53
Sites, in units of the cell vectors:
1 Sm 0.000 0.000 0.000
2 Sm 0.069 0.069 0.698
3 Sm 0.931 0.931 0.302
4 Ho 0.067 0.561 0.690
5 Ho 0.362 0.362 0.077
6 Ho 0.439 0.933 0.310
7 Ho 0.561 0.067 0.690
8 Ho 0.638 0.638 0.923
9 Ho 0.933 0.439 0.310
10 Er 0.500 0.500 0.500

---

Record 3
NaCoOs2: relaxed, PBE.

Calculated values
Calculated volume in Å³ per cell: 54.8
Total moment in μB per cell: 0.000
Energy of formation in eV per atom: 1.20
ρ in Mg/m³: 14.02
E_tot in eV/atom: -6.52
Space group: No. 225

Unit cell a=4.262 b=4.262 c=4.262 alpha=60.00 beta=60.00 gamma=60.00
Sites, in units of the cell vectors:
1 Na 0.000 0.000 0.000
2 Co 0.500 0.500 0.500
3 Os 0.250 0.250 0.250
4 Os 0.750 0.750 0.750

---

Record 4
PrTh4Hg5: relaxed, PBE.

Calculated values
Calculated volume in Å³ per cell: 282.1
Total moment in μB per cell: 0.200
Energy of formation in eV per atom: -0.25
ρ in Mg/m³: 12.20
E_tot in eV/atom: -3.84
Space group: No. 123

Unit cell a=3.825 b=3.825 c=19.287 alpha=90.00 beta=90.00 gamma=90.00
Sites, in units of the cell vectors:
1 Pr 0.000 0.000 0.000
2 Th 0.000 0.000 0.202
3 Th 0.000 0.000 0.400
4 Th 0.000 0.000 0.600
5 Th 0.000 0.000 0.798
6 Hg 0.500 0.500 0.100
7 Hg 0.500 0.500 0.301
8 Hg 0.500 0.500 0.500
9 Hg 0.500 0.500 0.699
10 Hg 0.500 0.500 0.900

---

Record 5
NpGa2Pt: relaxed, PBE.

Calculated values
Calculated volume in Å³ per cell: 72.5
Total moment in μB per cell: 4.176
Energy of formation in eV per atom: -0.34
ρ in Mg/m³: 13.09
E_tot in eV/atom: -6.60
Space group: No. 123

Unit cell a=3.170 b=3.170 c=7.217 alpha=90.00 beta=90.00 gamma=90.00
Sites, in units of the cell vectors:
1 Np 0.000 0.000 0.000
2 Ga 0.500 0.500 0.294
3 Ga 0.500 0.500 0.706
4 Pt 0.000 0.000 0.500

---

Record 6
LiScSb3: relaxed, PBE.

Calculated values
Calculated volume in Å³ per cell: 125.8
Total moment in μB per cell: 0.000
ρ in Mg/m³: 5.51
E_tot in eV/atom: -4.01
Space group: No. 221
ΔE_f (raw) in meV/atom: 111

Unit cell a=5.010 b=5.010 c=5.010 alpha=90.00 beta=90.00 gamma=90.00
Sites, in units of the cell vectors:
1 Li 0.000 0.000 0.000
2 Sc 0.500 0.500 0.500
3 Sb 0.000 0.000 0.500
4 Sb 0.000 0.500 0.000
5 Sb 0.500 0.000 0.000

---

Record 7
Na3MoBr8: relaxed, PBE.

Calculated values
Calculated volume in Å³ per cell: 419.7
Total moment in μB per cell: 0.975
ρ in Mg/m³: 3.18
E_tot in eV/atom: -3.28
Space group: No. 21
ΔE_f (raw) in meV/atom: -933

Unit cell a=7.250 b=7.250 c=8.648 alpha=90.00 beta=90.00 gamma=112.60
Sites, in units of the cell vectors:
1 Na 0.000 0.000 0.000
2 Na 0.000 0.500 0.770
3 Na 0.500 0.000 0.230
4 Mo 0.000 0.000 0.500
5 Br 0.210 0.790 0.500
6 Br 0.223 0.226 0.706
7 Br 0.226 0.223 0.294
8 Br 0.234 0.766 0.000
9 Br 0.766 0.234 0.000
10 Br 0.774 0.777 0.294
11 Br 0.777 0.774 0.706
12 Br 0.790 0.210 0.500

---

Record 8
CsFe3I12: relaxed, PBE.

Calculated values
Calculated volume in Å³ per cell: 1828.2
Total moment in μB per cell: 25.982
ρ in Mg/m³: 3.31
E_tot in eV/atom: -3.09
Space group: No. 161
ΔE_f (raw) in meV/atom: -285

Unit cell a=14.549 b=14.549 c=14.549 alpha=53.15 beta=53.15 gamma=53.15
Sites, in units of the cell vectors:
1 Cs 0.000 0.000 0.000
2 Cs 0.500 0.500 0.500
3 Fe 0.062 0.374 0.686
4 Fe 0.186 0.874 0.562
5 Fe 0.374 0.686 0.062
6 Fe 0.562 0.186 0.874
7 Fe 0.686 0.062 0.374
8 Fe 0.874 0.562 0.186
9 I 0.005 0.568 0.511
10 I 0.011 0.068 0.505
11 I 0.068 0.505 0.011
12 I 0.104 0.209 0.638
13 I 0.138 0.709 0.604
14 I 0.197 0.841 0.747
15 I 0.209 0.638 0.104
16 I 0.247 0.341 0.697
17 I 0.341 0.697 0.247
18 I 0.368 0.900 0.894
19 I 0.394 0.400 0.868
20 I 0.400 0.868 0.394
21 I 0.505 0.011 0.068
22 I 0.511 0.005 0.568
23 I 0.568 0.511 0.005
24 I 0.604 0.138 0.709
25 I 0.638 0.104 0.209
26 I 0.697 0.247 0.341
27 I 0.709 0.604 0.138
28 I 0.747 0.197 0.841
29 I 0.841 0.747 0.197
30 I 0.868 0.394 0.400
31 I 0.894 0.368 0.900
32 I 0.900 0.894 0.368

---

Record 9
K3BaHg7: relaxed, PBE.

Calculated values
Calculated volume in Å³ per cell: 811.1
Total moment in μB per cell: 0.000
Energy of formation in eV per atom: -0.27
ρ in Mg/m³: 6.79
E_tot in eV/atom: -0.94
Space group: No. 63

Unit cell a=12.034 b=12.034 c=16.446 alpha=90.00 beta=90.00 gamma=160.09
Sites, in units of the cell vectors:
1 K 0.115 0.885 0.539
2 K 0.115 0.885 0.961
3 K 0.247 0.753 0.250
4 K 0.753 0.247 0.750
5 K 0.885 0.115 0.039
6 K 0.885 0.115 0.461
7 Ba 0.027 0.973 0.250
8 Ba 0.973 0.027 0.750
9 Hg 0.264 0.736 0.565
10 Hg 0.264 0.736 0.935
11 Hg 0.370 0.630 0.655
12 Hg 0.370 0.630 0.845
13 Hg 0.404 0.596 0.250
14 Hg 0.494 0.506 0.587
15 Hg 0.494 0.506 0.913
16 Hg 0.506 0.494 0.087
17 Hg 0.506 0.494 0.413
18 Hg 0.596 0.404 0.750
19 Hg 0.630 0.370 0.155
20 Hg 0.630 0.370 0.345
21 Hg 0.736 0.264 0.065
22 Hg 0.736 0.264 0.435

---

Record 10
Pr2IrBr: relaxed, PBE.

Calculated values
Calculated volume in Å³ per cell: 119.7
Total moment in μB per cell: 0.000
ρ in Mg/m³: 7.68
E_tot in eV/atom: -6.11
Space group: No. 166
ΔE_f (raw) in meV/atom: -1085

Unit cell a=8.209 b=8.209 c=8.209 alpha=29.63 beta=29.63 gamma=29.63
Sites, in units of the cell vectors:
1 Pr 0.232 0.232 0.232
2 Pr 0.768 0.768 0.768
3 Ir 0.500 0.500 0.500
4 Br 0.000 0.000 0.000

---

Record 11
Pr2ThRh2: relaxed, PBE.

Calculated values
Calculated volume in Å³ per cell: 267.2
Total moment in μB per cell: 0.000
Energy of formation in eV per atom: -0.66
ρ in Mg/m³: 8.94
E_tot in eV/atom: -7.00
Space group: No. 15

Unit cell a=6.559 b=6.559 c=7.482 alpha=100.05 beta=100.05 gamma=57.91
Sites, in units of the cell vectors:
1 Pr 0.048 0.263 0.151
2 Pr 0.263 0.048 0.651
3 Pr 0.737 0.952 0.349
4 Pr 0.952 0.737 0.849
5 Th 0.413 0.587 0.250
6 Th 0.587 0.413 0.750
7 Rh 0.206 0.499 0.489
8 Rh 0.499 0.206 0.989
9 Rh 0.501 0.794 0.011
10 Rh 0.794 0.501 0.511

---

Record 12
Li3HoCu8: relaxed, PBE.

Calculated values
Calculated volume in Å³ per cell: 174.5
Total moment in μB per cell: 0.000
Energy of formation in eV per atom: -0.12
ρ in Mg/m³: 6.61
E_tot in eV/atom: -3.72
Space group: No. 156

Unit cell a=4.980 b=4.980 c=8.124 alpha=90.00 beta=90.00 gamma=120.00
Sites, in units of the cell vectors:
1 Li 0.000 0.000 0.000
2 Li 0.000 0.000 0.349
3 Li 0.333 0.667 0.904
4 Ho 0.333 0.667 0.507
5 Cu 0.002 0.501 0.190
6 Cu 0.328 0.164 0.698
7 Cu 0.499 0.501 0.190
8 Cu 0.499 0.998 0.190
9 Cu 0.667 0.333 0.441
10 Cu 0.667 0.333 0.942
11 Cu 0.836 0.164 0.698
12 Cu 0.836 0.672 0.698

---

Record 13
Cu2B2Pd5: relaxed, PBE.

Calculated values
Calculated volume in Å³ per cell: 241.3
Total moment in μB per cell: 0.000
Energy of formation in eV per atom: -0.07
ρ in Mg/m³: 9.37
E_tot in eV/atom: -5.35
Space group: No. 46

Unit cell a=7.960 b=7.960 c=7.960 alpha=65.00 beta=131.11 gamma=139.92
Sites, in units of the cell vectors:
1 Cu 0.050 0.112 0.162
2 Cu 0.050 0.388 0.438
3 Cu 0.950 0.612 0.562
4 Cu 0.950 0.888 0.838
5 B 0.624 0.124 0.500
6 B 0.624 0.624 0.000
7 B 0.798 0.070 0.228
8 B 0.842 0.570 0.772
9 Pd 0.075 0.323 0.811
10 Pd 0.075 0.765 0.252
11 Pd 0.353 0.924 0.929
12 Pd 0.466 0.182 0.580
13 Pd 0.466 0.386 0.783
14 Pd 0.513 0.265 0.189
15 Pd 0.513 0.823 0.748
16 Pd 0.603 0.682 0.217
17 Pd 0.603 0.886 0.420
18 Pd 0.995 0.424 0.071

---

Record 14
Ac2LaPr2Sm: relaxed, PBE.

Calculated values
Calculated volume in Å³ per cell: 464.7
Total moment in μB per cell: 0.000
Energy of formation in eV per atom: 0.06
ρ in Mg/m³: 7.33
E_tot in eV/atom: -4.51
Space group: No. 51

Unit cell a=7.449 b=6.016 c=10.370 alpha=90.00 beta=90.00 gamma=90.00
Sites, in units of the cell vectors:
1 Ac 0.000 0.000 0.000
2 Ac 0.250 0.500 0.171
3 Ac 0.500 0.000 0.000
4 Ac 0.750 0.500 0.829
5 La 0.000 0.500 0.500
6 La 0.500 0.500 0.500
7 Pr 0.250 0.000 0.342
8 Pr 0.250 0.500 0.826
9 Pr 0.750 0.000 0.658
10 Pr 0.750 0.500 0.174
11 Sm 0.250 0.000 0.665
12 Sm 0.750 0.000 0.335